Material: VTe3N
Method: DFT, PBE
State: relaxed

The symmetry is No. 221. The spin magnetization is 2.6 Bohr magnetons per cell. For the energy, the calculation gives -4.25 eV/atom. The density of states at the Fermi level comes out at 0.60 states/eV/atom. The calculation puts the energy above the lowest structure with this stoichiometry at 355 meV per atom.

```
VTe3N
1.0
5.2054 0.0000 0.0000
0.0000 5.2054 0.0000
0.0000 0.0000 5.2054
Te N V
3 1 1
direct
0.0000 0.5000 0.0000 Te
0.0000 0.0000 0.5000 Te
0.5000 0.0000 0.0000 Te
0.5000 0.5000 0.5000 N
0.0000 0.0000 0.0000 V
```